An optimized crystal structure of TmPuBiPb, computed with PBE-GGA.

Properties
DFT total energy	-6.88	eV per atom
spin magnetization	6.0	μB per cell
volume	114.3	Å³/cell
D(E_F)	13.75	states/eV/cell
ΔE_f	-0.277	eV/atom
crystal system	cubic

Lattice parameters (Å, degrees): 5.447 5.447 5.447 60.00 60.00 60.00
Fractional coordinates of all 4 atoms:
Tm 0.000 0.000 0.000
Pu 0.500 0.500 0.500
Bi 0.750 0.750 0.750
Pb 0.250 0.250 0.250